<1>
LiSi2BiO6 | PBE | optimized geometry

abc: 6.895 6.895 5.295
angles: 101.44 101.44 85.25
Sites, in units of the cell vectors:
Li 0.091 0.909 0.750
Li 0.909 0.091 0.250
Si 0.189 0.373 0.731
Si 0.373 0.189 0.231
Si 0.627 0.811 0.769
Si 0.811 0.627 0.269
Bi 0.277 0.723 0.250
Bi 0.723 0.277 0.750
O 0.016 0.211 0.645
O 0.118 0.601 0.823
O 0.211 0.016 0.145
O 0.313 0.356 0.486
O 0.356 0.313 0.986
O 0.399 0.882 0.677
O 0.601 0.118 0.323
O 0.644 0.687 0.014
O 0.687 0.644 0.514
O 0.789 0.984 0.855
O 0.882 0.399 0.177
O 0.984 0.789 0.355

Properties
Calculated volume: 12.08 Å³/atom
Symmetry: C2/c, No. 15
Total magnetization: 0.0 μB/cell

<2>
LiSi2BiO6 | PBE | optimized geometry

abc: 7.149 7.149 5.524
angles: 104.41 104.41 87.34
Sites, in units of the cell vectors:
Li 0.243 0.757 0.750
Li 0.757 0.243 0.250
Si 0.219 0.383 0.294
Si 0.383 0.219 0.794
Si 0.617 0.781 0.206
Si 0.781 0.617 0.706
Bi 0.125 0.875 0.250
Bi 0.875 0.125 0.750
O 0.030 0.236 0.189
O 0.167 0.610 0.389
O 0.236 0.030 0.689
O 0.326 0.358 0.054
O 0.358 0.326 0.554
O 0.390 0.833 0.111
O 0.610 0.167 0.889
O 0.642 0.674 0.446
O 0.674 0.642 0.946
O 0.764 0.970 0.311
O 0.833 0.390 0.611
O 0.970 0.764 0.811

Properties
Calculated volume: 13.24 Å³/atom
Symmetry: C2/c, No. 15
Total magnetization: 0.0 μB/cell

<1> takes first place; second place is 20 meV per atom up.

<1>
LiReBiOs2 | PBE | optimized geometry

abc: 4.289 4.289 4.373
angles: 90.00 90.00 90.00
Sites, in units of the cell vectors:
Li 0.000 0.000 0.000
Re 0.500 0.500 0.500
Bi 0.000 0.000 0.500
Os 0.000 0.500 0.000
Os 0.500 0.000 0.000

Properties
Calculated volume: 16.09 Å³/atom
Symmetry: P4/mmm, No. 123
Total magnetization: 2.2 μB/cell

<2>
LiReBiOs2 | PBE | optimized geometry

abc: 4.307 4.307 4.316
angles: 90.00 90.00 90.00
Sites, in units of the cell vectors:
Li 0.000 0.000 0.000
Re 0.000 0.000 0.500
Bi 0.500 0.500 0.500
Os 0.000 0.500 0.000
Os 0.500 0.000 0.000

Properties
Calculated volume: 16.01 Å³/atom
Symmetry: P4/mmm, No. 123
Total magnetization: 2.3 μB/cell

<2> takes first place; second place is 129 meV per atom up.

<1>
LiBi2P2 | PBE | optimized geometry

abc: 6.200 6.200 6.200
angles: 128.61 128.61 75.65
Sites, in units of the cell vectors:
Li 0.000 0.000 0.000
Bi 0.336 0.336 0.000
Bi 0.664 0.664 0.000
P 0.250 0.750 0.500
P 0.750 0.250 0.500

Properties
Calculated volume: 28.32 Å³/atom
Symmetry: I4/mmm, No. 139
Total magnetization: 0.0 μB/cell

<2>
LiBi2P2 | PBE | optimized geometry

abc: 7.648 7.648 4.005
angles: 90.00 90.00 90.00
Sites, in units of the cell vectors:
Li 0.000 0.000 0.000
Li 0.500 0.500 0.000
Bi 0.157 0.343 0.500
Bi 0.343 0.843 0.500
Bi 0.657 0.157 0.500
Bi 0.843 0.657 0.500
P 0.168 0.668 0.000
P 0.332 0.168 0.000
P 0.668 0.832 0.000
P 0.832 0.332 0.000

Properties
Calculated volume: 23.43 Å³/atom
Symmetry: P4/mbm, No. 127
Total magnetization: 0.0 μB/cell

<2> takes first place; second place is 104 meV per atom up.

<1>
Li3BiP | PBE | optimized geometry

abc: 5.290 5.290 5.290
angles: 90.00 90.00 90.00
Sites, in units of the cell vectors:
Li 0.000 0.000 0.500
Li 0.000 0.500 0.000
Li 0.500 0.000 0.000
Bi 0.000 0.000 0.000
P 0.500 0.500 0.500

Properties
Calculated volume: 29.61 Å³/atom
Symmetry: Pm-3m, No. 221
Total magnetization: 2.9 μB/cell

<2>
Li3BiP | PBE | optimized geometry

abc: 4.672 4.672 4.672
angles: 90.00 90.00 90.00
Sites, in units of the cell vectors:
Li 0.000 0.000 0.500
Li 0.000 0.500 0.000
Li 0.500 0.000 0.000
Bi 0.500 0.500 0.500
P 0.000 0.000 0.000

Properties
Calculated volume: 20.40 Å³/atom
Symmetry: Pm-3m, No. 221
Total magnetization: 0.0 μB/cell

<2> takes first place; second place is 579 meV per atom up.

<1>
Li2BiP2 | PBE | optimized geometry

abc: 5.876 5.876 5.876
angles: 137.56 137.56 61.57
Sites, in units of the cell vectors:
Li 0.250 0.750 0.500
Li 0.750 0.250 0.500
Bi 0.000 0.000 0.000
P 0.392 0.392 0.000
P 0.608 0.608 0.000

Properties
Calculated volume: 18.26 Å³/atom
Symmetry: I4/mmm, No. 139
Total magnetization: 0.0 μB/cell

<2>
Li2BiP2 | PBE | optimized geometry

abc: 7.796 7.796 3.059
angles: 90.00 90.00 90.00
Sites, in units of the cell vectors:
Li 0.123 0.377 0.000
Li 0.377 0.877 0.000
Li 0.623 0.123 0.000
Li 0.877 0.623 0.000
Bi 0.000 0.000 0.500
Bi 0.500 0.500 0.500
P 0.169 0.669 0.500
P 0.331 0.169 0.500
P 0.669 0.831 0.500
P 0.831 0.331 0.500

Properties
Calculated volume: 18.59 Å³/atom
Symmetry: P4/mbm, No. 127
Total magnetization: 0.0 μB/cell

<1> takes first place; second place is 43 meV per atom up.

<1>
LiBi3P | PBE | optimized geometry

abc: 5.103 5.103 5.103
angles: 90.00 90.00 90.00
Sites, in units of the cell vectors:
Li 0.000 0.000 0.000
Bi 0.000 0.000 0.500
Bi 0.000 0.500 0.000
Bi 0.500 0.000 0.000
P 0.500 0.500 0.500

Properties
Calculated volume: 26.57 Å³/atom
Symmetry: Pm-3m, No. 221
Total magnetization: 0.0 μB/cell

<2>
LiBi3P | PBE | optimized geometry

abc: 5.483 5.483 5.483
angles: 90.00 90.00 90.00
Sites, in units of the cell vectors:
Li 0.000 0.000 0.000
Bi 0.000 0.500 0.500
Bi 0.500 0.000 0.500
Bi 0.500 0.500 0.000
P 0.500 0.500 0.500

Properties
Calculated volume: 32.96 Å³/atom
Symmetry: Pm-3m, No. 221
Total magnetization: 0.0 μB/cell

<2> takes first place; second place is 211 meV per atom up.